This record from the Alexandria database describes a relaxed structure of Li2Mn2P. The functional is PBE.

Calculated volume: 13.5 Å³ per atom
Formation energy: 0.92 eV/f.u.
Total energy: -5.33 eV per atom

```
data_Li2Mn2P
_chemical_formula_sum 'Li4 Mn4 P2'
_space_group_name_H-M_alt 'P 4/m b m'
_space_group_IT_number 127
_space_group_name_Hall '-P 4 2ab'
_cell_length_a 5.845
_cell_length_b 5.845
_cell_length_c 3.950
_cell_angle_alpha 90.00
_cell_angle_beta 90.00
_cell_angle_gamma 90.00
loop_
_atom_site_label
_atom_site_type_symbol
_atom_site_fract_x
_atom_site_fract_y
_atom_site_fract_z
_atom_site_occupancy
Li1 Li 0.134 0.366 0.000 1
Mn1 Mn 0.176 0.676 0.500 1
P1 P 0.000 0.000 0.000 1
```

This record from the Alexandria database describes a relaxed structure of Pr3Mg9Rh2. The functional is PBE.

Calculated volume: 23.7 Å³ per atom
Formation energy: -3.06 eV/f.u.
Total energy: -3.32 eV per atom

```
data_Pr3Mg9Rh2
_chemical_formula_sum 'Pr6 Mg18 Rh4'
_space_group_name_H-M_alt 'I m m m'
_space_group_IT_number 71
_space_group_name_Hall '-I 2 2'
_cell_length_a 4.985
_cell_length_b 10.759
_cell_length_c 12.395
_cell_angle_alpha 90.00
_cell_angle_beta 90.00
_cell_angle_gamma 90.00
loop_
_atom_site_label
_atom_site_type_symbol
_atom_site_fract_x
_atom_site_fract_y
_atom_site_fract_z
_atom_site_occupancy
Pr1 Pr 0.000 0.000 0.000 1
Pr2 Pr 0.000 0.000 0.306 1
Mg1 Mg 0.000 0.281 0.125 1
Mg2 Mg 0.000 0.358 0.368 1
Mg3 Mg 0.000 0.500 0.000 1
Rh1 Rh 0.000 0.154 0.500 1
```

This record from the Alexandria database describes a relaxed structure of Na2ZnCO4. The functional is PBE.

Raw formation energy: -1.219 eV per atom
Calculated volume: 14.4 Å³ per atom
Total energy: -5.34 eV per atom

```
data_Na2ZnCO4
_chemical_formula_sum 'Na16 Zn8 C8 O32'
_space_group_name_H-M_alt 'F d d d'
_space_group_IT_number 70
_cell_length_a 4.814
_cell_length_b 9.931
_cell_length_c 19.301
_cell_angle_alpha 90.00
_cell_angle_beta 90.00
_cell_angle_gamma 90.00
loop_
_space_group_symop_operation_xyz
'x,y,z'
'-x,-y,-z'
'-x+1/4,-y+1/4,z'
'x+1/4,y+1/4,-z'
'x,-y+1/4,-z+1/4'
'-x,y+1/4,z+1/4'
'-x+1/4,y,-z+1/4'
'x+1/4,-y,z+1/4'
'x,y+1/2,z+1/2'
'-x,-y+1/2,-z+1/2'
'-x+1/4,-y+3/4,z+1/2'
'x+1/4,y+3/4,-z+1/2'
'x,-y+3/4,-z+3/4'
'-x,y+3/4,z+3/4'
'-x+1/4,y+1/2,-z+3/4'
'x+1/4,-y+1/2,z+3/4'
'x+1/2,y,z+1/2'
'-x+1/2,-y,-z+1/2'
'-x+3/4,-y+1/4,z+1/2'
'x+3/4,y+1/4,-z+1/2'
'x+1/2,-y+1/4,-z+3/4'
'-x+1/2,y+1/4,z+3/4'
'-x+3/4,y,-z+3/4'
'x+3/4,-y,z+3/4'
'x+1/2,y+1/2,z'
'-x+1/2,-y+1/2,-z'
'-x+3/4,-y+3/4,z'
'x+3/4,y+3/4,-z'
'x+1/2,-y+3/4,-z+1/4'
'-x+1/2,y+3/4,z+1/4'
'-x+3/4,y+1/2,-z+1/4'
'x+3/4,-y+1/2,z+1/4'
loop_
_atom_site_label
_atom_site_type_symbol
_atom_site_fract_x
_atom_site_fract_y
_atom_site_fract_z
_atom_site_occupancy
Na1 Na 0.125 0.125 0.316 1
Zn1 Zn 0.125 0.125 0.125 1
C1 C 0.125 0.125 0.625 1
O1 O 0.048 0.290 0.834 1
```

This record from the Alexandria database describes a relaxed structure of Ho7TlIr2. The functional is PBE.

Calculated volume: 31.8 Å³ per atom
Formation energy: -2.99 eV/f.u.
Total energy: -5.51 eV per atom

```
data_Ho7TlIr2
_chemical_formula_sum 'Ho14 Tl2 Ir4'
_space_group_name_H-M_alt 'C m m m'
_space_group_IT_number 65
_space_group_name_Hall '-C 2 2'
_cell_length_a 8.824
_cell_length_b 13.678
_cell_length_c 5.262
_cell_angle_alpha 90.00
_cell_angle_beta 90.00
_cell_angle_gamma 90.00
loop_
_atom_site_label
_atom_site_type_symbol
_atom_site_fract_x
_atom_site_fract_y
_atom_site_fract_z
_atom_site_occupancy
Ho1 Ho 0.000 0.000 0.000 1
Ho2 Ho 0.000 0.210 0.500 1
Ho3 Ho 0.187 0.369 0.000 1
Tl1 Tl 0.000 0.500 0.500 1
Ir1 Ir 0.000 0.203 0.000 1
```

This record from the Alexandria database describes a relaxed structure of FeCo. The functional is PBE.

Calculated volume: 11.4 Å³ per atom
Formation energy: -0.01 eV/f.u.
Total energy: -7.79 eV per atom

```
data_FeCo
_chemical_formula_sum 'Fe4 Co4'
_space_group_name_H-M_alt 'P m m 2'
_space_group_IT_number 25
_cell_length_a 2.828
_cell_length_b 4.019
_cell_length_c 8.042
_cell_angle_alpha 90.00
_cell_angle_beta 90.00
_cell_angle_gamma 90.00
loop_
_space_group_symop_operation_xyz
'x,y,z'
'-x,-y,z'
'-x,y,z'
'x,-y,z'
loop_
_atom_site_label
_atom_site_type_symbol
_atom_site_fract_x
_atom_site_fract_y
_atom_site_fract_z
_atom_site_occupancy
Fe1 Fe 0.000 0.000 0.000 1
Fe2 Fe 0.000 0.000 0.498 1
Fe3 Fe 0.500 0.000 0.748 1
Fe4 Fe 0.500 0.500 0.998 1
Co1 Co 0.000 0.500 0.245 1
Co2 Co 0.000 0.500 0.748 1
Co3 Co 0.500 0.000 0.250 1
Co4 Co 0.500 0.500 0.496 1
```

This record from the Alexandria database describes a relaxed structure of NpScAgS4. The functional is PBE.

Raw formation energy: -1.249 eV per atom
Calculated volume: 23.6 Å³ per atom
Total energy: -6.77 eV per atom

```
data_NpScAgS4
_chemical_formula_sum 'Np4 Sc4 Ag4 S16'
_space_group_name_H-M_alt 'I m m a'
_space_group_IT_number 74
_space_group_name_Hall '-I 2b 2'
_cell_length_a 7.581
_cell_length_b 8.028
_cell_length_c 10.862
_cell_angle_alpha 90.00
_cell_angle_beta 90.00
_cell_angle_gamma 90.00
loop_
_atom_site_label
_atom_site_type_symbol
_atom_site_fract_x
_atom_site_fract_y
_atom_site_fract_z
_atom_site_occupancy
Np1 Np 0.000 0.000 0.000 1
Sc1 Sc 0.250 0.250 0.250 1
Ag1 Ag 0.000 0.250 0.641 1
S1 S 0.000 0.029 0.245 1
S2 S 0.236 0.250 0.011 1
```

This record from the Alexandria database describes a relaxed structure of SiHgIr2. The functional is PBE.

Raw formation energy: 0.315 eV per atom
Calculated volume: 15.6 Å³ per atom
Total energy: -5.55 eV per atom

```
data_SiHgIr2
_chemical_formula_sum 'Si2 Hg2 Ir4'
_space_group_name_H-M_alt 'C m m m'
_space_group_IT_number 65
_space_group_name_Hall '-C 2 2'
_cell_length_a 5.946
_cell_length_b 7.033
_cell_length_c 2.988
_cell_angle_alpha 90.00
_cell_angle_beta 90.00
_cell_angle_gamma 90.00
loop_
_atom_site_label
_atom_site_type_symbol
_atom_site_fract_x
_atom_site_fract_y
_atom_site_fract_z
_atom_site_occupancy
Si1 Si 0.000 0.000 0.000 1
Hg1 Hg 0.000 0.500 0.000 1
Ir1 Ir 0.250 0.250 0.500 1
```

This record from the Alexandria database describes a relaxed structure of BaTcPb2Au. The functional is PBE.

Calculated volume: 30.1 Å³ per atom
Formation energy: 0.14 eV/f.u.
Total energy: -4.57 eV per atom

```
data_BaTcPb2Au
_chemical_formula_sum 'Ba1 Tc1 Pb2 Au1'
_space_group_name_H-M_alt 'P 4/m m m'
_space_group_IT_number 123
_space_group_name_Hall '-P 4 2'
_cell_length_a 5.252
_cell_length_b 5.252
_cell_length_c 5.455
_cell_angle_alpha 90.00
_cell_angle_beta 90.00
_cell_angle_gamma 90.00
loop_
_atom_site_label
_atom_site_type_symbol
_atom_site_fract_x
_atom_site_fract_y
_atom_site_fract_z
_atom_site_occupancy
Ba1 Ba 0.000 0.000 0.000 1
Tc1 Tc 0.500 0.500 0.500 1
Pb1 Pb 0.000 0.500 0.500 1
Au1 Au 0.500 0.500 0.000 1
```

This record from the Alexandria database describes a relaxed structure of Na3HgPd. The functional is PBE.

Calculated volume: 32.6 Å³ per atom
Formation energy: 0.22 eV/f.u.
Total energy: -1.85 eV per atom

```
data_Na3HgPd
_chemical_formula_sum 'Na3 Hg1 Pd1'
_space_group_name_H-M_alt 'P m -3 m'
_space_group_IT_number 221
_space_group_name_Hall '-P 4 2 3'
_cell_length_a 5.463
_cell_length_b 5.463
_cell_length_c 5.463
_cell_angle_alpha 90.00
_cell_angle_beta 90.00
_cell_angle_gamma 90.00
loop_
_atom_site_label
_atom_site_type_symbol
_atom_site_fract_x
_atom_site_fract_y
_atom_site_fract_z
_atom_site_occupancy
Na1 Na 0.000 0.000 0.500 1
Hg1 Hg 0.500 0.500 0.500 1
Pd1 Pd 0.000 0.000 0.000 1
```

This record from the Alexandria database describes a relaxed structure of Mn2OsW. The functional is PBE.

Calculated volume: 13.7 Å³ per atom
Formation energy: 0.68 eV/f.u.
Total energy: -10.46 eV per atom

```
data_Mn2OsW
_chemical_formula_sum 'Mn4 Os2 W2'
_space_group_name_H-M_alt 'C 1 2/m 1'
_space_group_IT_number 12
_cell_length_a 5.252
_cell_length_b 8.193
_cell_length_c 2.652
_cell_angle_alpha 90.00
_cell_angle_beta 106.10
_cell_angle_gamma 90.00
loop_
_space_group_symop_operation_xyz
'x,y,z'
'-x,-y,-z'
'-x,y,-z'
'x,-y,z'
'x+1/2,y+1/2,z'
'-x+1/2,-y+1/2,-z'
'-x+1/2,y+1/2,-z'
'x+1/2,-y+1/2,z'
loop_
_atom_site_label
_atom_site_type_symbol
_atom_site_fract_x
_atom_site_fract_y
_atom_site_fract_z
_atom_site_occupancy
Mn1 Mn 0.250 0.250 0.000 1
Os1 Os 0.000 0.000 0.500 1
W1 W 0.000 0.500 0.500 1
```

This record from the Alexandria database describes a relaxed structure of Mn2Sb. The functional is PBE.

Raw formation energy: 0.207 eV per atom
Calculated volume: 16.3 Å³ per atom
Total energy: -7.28 eV per atom

```
data_Mn2Sb
_chemical_formula_sum 'Mn6 Sb3'
_space_group_name_H-M_alt 'P -6 2 m'
_space_group_IT_number 189
_space_group_name_Hall 'P -6 -2'
_cell_length_a 6.8787
_cell_length_b 6.8787
_cell_length_c 3.5854
_cell_angle_alpha 90.00
_cell_angle_beta 90.00
_cell_angle_gamma 120.00
loop_
_atom_site_label
_atom_site_type_symbol
_atom_site_fract_x
_atom_site_fract_y
_atom_site_fract_z
_atom_site_occupancy
Mn1 Mn 0.0000 0.2644 0.0000 1
Mn2 Mn 0.0000 0.6071 0.5000 1
Sb1 Sb 0.0000 0.0000 0.5000 1
Sb2 Sb 0.3333 0.6667 0.0000 1
```

This record from the Alexandria database describes a relaxed structure of TaNbPt3. The functional is PBE.

Calculated volume: 22.5 Å³ per atom
Formation energy: 4.76 eV/f.u.
Total energy: -7.06 eV per atom

```
data_TaNbPt3
_chemical_formula_sum 'Ta1 Nb1 Pt3'
_space_group_name_H-M_alt 'P m -3 m'
_space_group_IT_number 221
_space_group_name_Hall '-P 4 2 3'
_cell_length_a 4.824
_cell_length_b 4.824
_cell_length_c 4.824
_cell_angle_alpha 90.00
_cell_angle_beta 90.00
_cell_angle_gamma 90.00
loop_
_atom_site_label
_atom_site_type_symbol
_atom_site_fract_x
_atom_site_fract_y
_atom_site_fract_z
_atom_site_occupancy
Ta1 Ta 0.000 0.000 0.000 1
Nb1 Nb 0.500 0.500 0.500 1
Pt1 Pt 0.000 0.000 0.500 1
```